Computed, not measured: a relaxed SrMgV2O6 crystal at the GGA+U level of DFT.

Cell: 5.1805 5.1805 17.8762 Å, 90.00 90.00 120.00°
With the nearest neighbours (Å) after each atom.
Space group R-3 (No. 148, hexagonal axes)
One atom of each set of equivalent atoms:
Sr1 0.0000 0.0000 0.0000 x3  6 O 2.55
Mg1 0.0000 0.0000 0.5000 x3  6 O 2.10
V1 0.0000 0.0000 0.1782 x6  6 O 1.90-2.08
O1 0.0058 0.3553 0.5584 x18  2 V 1.90-2.08, 1 Mg 2.10

Values from the calculation:
* spin magnetization: 6.00 μB per cell
* crystal system: trigonal
* calculated total energy: -0.5260 Ry/atom